[1]
Entry from Alexandria via LeMat-Bulk: crystalline Si2BiS6 at its relaxed geometry (PBE).

a b c (Å): 12.300 11.600 6.240
angles (deg): 90.00 103.18 90.00
Space group C2/c (No. 15)
Asymmetric unit:
Si: 0.203 0.074 0.284 [8 per cell]
Bi: 0.000 0.366 0.250 [4 per cell]
S: 0.120 0.421 0.674 [8 per cell]
S: 0.141 0.224 0.101 [8 per cell]
S: 0.142 0.076 0.582 [8 per cell]

V	866.9	Å³/cell
size of the total moment	0.00	Bohr magnetons per cell
total DFT energy (no corrections)	-4.757	eV/atom

=====

[2]
Entry from Alexandria via LeMat-Bulk: crystalline Si3BiS at its relaxed geometry (PBE).

a b c (Å): 4.777 4.777 4.777
angles (deg): 90.00 90.00 90.00
Space group Pm-3m (No. 221)
Asymmetric unit:
Si: 0.000 0.000 0.500 [3 per cell]
Bi: 0.500 0.500 0.500 [1 per cell]
S: 0.000 0.000 0.000 [1 per cell]

V	109.0	Å³/cell
size of the total moment	0.00	Bohr magnetons per cell
total DFT energy (no corrections)	-4.165	eV/atom
relative energy among the computed polymorphs	0	meV/atom

=====

[3]
Entry from Alexandria via LeMat-Bulk: crystalline SiBi3S at its relaxed geometry (PBE).

a b c (Å): 5.375 5.375 5.375
angles (deg): 90.00 90.00 90.00
Space group Pm-3m (No. 221)
Asymmetric unit:
Si: 0.000 0.000 0.000 [1 per cell]
Bi: 0.000 0.500 0.500 [3 per cell]
S: 0.500 0.500 0.500 [1 per cell]

V	155.3	Å³/cell
size of the total moment	0.00	Bohr magnetons per cell
total DFT energy (no corrections)	-3.506	eV/atom
relative energy among the computed polymorphs	0	meV/atom

=====

[4]
Entry from Alexandria via LeMat-Bulk: crystalline Si2BiS at its relaxed geometry (PBE).

a b c (Å): 6.861 6.861 6.861
angles (deg): 90.00 90.00 90.00
Space group Fm-3m (No. 225)
Asymmetric unit:
Si: 0.250 0.250 0.250 [8 per cell]
Bi: 0.000 0.000 0.000 [4 per cell]
S: 0.000 0.000 0.500 [4 per cell]

V	323.0	Å³/cell
size of the total moment	0.00	Bohr magnetons per cell
total DFT energy (no corrections)	-4.071	eV/atom
relative energy among the computed polymorphs	228	meV/atom

=====

[5]
Entry from Alexandria via LeMat-Bulk: crystalline SiBi2S5 at its relaxed geometry (PBE).

a b c (Å): 5.354 13.410 12.081
angles (deg): 90.00 90.00 90.00
Space group Cmcm (No. 63)
Asymmetric unit:
Si: 0.000 0.167 0.250 [4 per cell]
Bi: 0.000 0.156 0.576 [8 per cell]
S: 0.000 0.053 0.120 [8 per cell]
S: 0.000 0.290 0.111 [8 per cell]
S: 0.000 0.299 0.750 [4 per cell]

V	867.4	Å³/cell
size of the total moment	0.00	Bohr magnetons per cell
total DFT energy (no corrections)	-4.446	eV/atom

=====

[6]
Entry from Alexandria via LeMat-Bulk: crystalline SiBiS4 at its relaxed geometry (PBE).

a b c (Å): 16.545 5.259 9.008
angles (deg): 90.00 108.60 90.00
Space group C2/m (No. 12)
Asymmetric unit:
Si: 0.124 0.000 0.264 [4 per cell]
Bi: 0.212 0.000 0.758 [4 per cell]
S: 0.006 0.000 0.888 [4 per cell]
S: 0.099 0.000 0.477 [4 per cell]
S: 0.141 0.500 0.262 [4 per cell]
S: 0.230 0.000 0.174 [4 per cell]

V	742.8	Å³/cell
size of the total moment	0.00	Bohr magnetons per cell
total DFT energy (no corrections)	-4.516	eV/atom

=====

[7]
Entry from Alexandria via LeMat-Bulk: crystalline Si5Bi3S12 at its relaxed geometry (PBE).

a b c (Å): 15.243 15.243 15.243
angles (deg): 90.00 90.00 90.00
Space group Ia-3d (No. 230)
Asymmetric unit:
Si: 0.000 0.000 0.000 [16 per cell]
Si: 0.000 0.250 0.375 [24 per cell]
Bi: 0.000 0.250 0.125 [24 per cell]
S: 0.035 0.055 0.655 [96 per cell]

V	3541.4	Å³/cell
size of the total moment	0.00	Bohr magnetons per cell
total DFT energy (no corrections)	-4.696	eV/atom

=====

[8]
Entry from Alexandria via LeMat-Bulk: crystalline Si3BiS at its relaxed geometry (PBE).

a b c (Å): 5.424 5.424 5.424
angles (deg): 90.00 90.00 90.00
Space group Pm-3m (No. 221)
Asymmetric unit:
Si: 0.000 0.000 0.500 [3 per cell]
Bi: 0.000 0.000 0.000 [1 per cell]
S: 0.500 0.500 0.500 [1 per cell]

V	159.5	Å³/cell
size of the total moment	0.00	Bohr magnetons per cell
total DFT energy (no corrections)	-3.151	eV/atom
relative energy among the computed polymorphs	1013	meV/atom

=====

[9]
Entry from Alexandria via LeMat-Bulk: crystalline SiSnBi2S at its relaxed geometry (PBE).

a b c (Å): 5.843 5.843 4.854
angles (deg): 90.00 90.00 90.00
Space group P4/mmm (No. 123)
Asymmetric unit:
Si: 0.000 0.000 0.000 [1 per cell]
Sn: 0.500 0.500 0.500 [1 per cell]
Bi: 0.000 0.500 0.500 [2 per cell]
S: 0.500 0.500 0.000 [1 per cell]

V	165.7	Å³/cell
size of the total moment	0.00	Bohr magnetons per cell
total DFT energy (no corrections)	-3.346	eV/atom

=====

[10]
Entry from Alexandria via LeMat-Bulk: crystalline SiBi2TeS at its relaxed geometry (PBE).

a b c (Å): 5.395 5.395 5.222
angles (deg): 90.00 90.00 90.00
Space group P4/mmm (No. 123)
Asymmetric unit:
Si: 0.000 0.000 0.000 [1 per cell]
Bi: 0.000 0.500 0.500 [2 per cell]
Te: 0.500 0.500 0.000 [1 per cell]
S: 0.500 0.500 0.500 [1 per cell]

V	152.0	Å³/cell
size of the total moment	0.00	Bohr magnetons per cell
total DFT energy (no corrections)	-3.353	eV/atom

=====

no.,ΔE_f (raw) (eV/atom)
1,-0.369
2,0.691
3,0.732
4,0.643
5,-0.218
6,-0.213
7,-0.282
8,1.704
9,0.917
10,0.738